Record 1
# K2SmF5

K2SmF5 after structural relaxation (PBE-GGA, OQMD via LeMat-Bulk).

The structure in POSCAR format:
```
K2SmF5
1.0
-5.2376 -7.5943 -4.5706
4.8081 -0.8568 -4.0860
3.0407 -4.8645 4.5981
F K Sm
20 8 4
direct
0.6797 0.6433 0.0028 F
0.1797 0.8567 0.0028 F
0.5086 0.0816 0.0074 F
0.0086 0.4184 0.0074 F
0.7945 0.1697 0.0084 F
0.2945 0.3303 0.0084 F
0.4216 0.6599 0.2202 F
0.9216 0.8401 0.2202 F
0.0807 0.1567 0.2929 F
0.5807 0.3433 0.2929 F
0.8203 0.1433 0.5028 F
0.3203 0.3567 0.5028 F
0.9914 0.5816 0.5074 F
0.4914 0.9184 0.5074 F
0.7055 0.6697 0.5084 F
0.2055 0.8303 0.5084 F
0.0784 0.1599 0.7202 F
0.5784 0.3401 0.7202 F
0.4193 0.6567 0.7929 F
0.9193 0.8433 0.7929 F
0.1689 0.5430 0.2517 K
0.6689 0.9570 0.2517 K
0.3293 0.0401 0.2607 K
0.8293 0.4599 0.2607 K
0.3311 0.0430 0.7517 K
0.8311 0.4570 0.7517 K
0.1707 0.5401 0.7607 K
0.6707 0.9599 0.7607 K
0.0073 0.0660 0.0069 Sm
0.5073 0.4340 0.0069 Sm
0.4927 0.5660 0.5069 Sm
0.9927 0.9340 0.5069 Sm
```

total energy: -174.92 eV/cell
calculated density: 4.46 Mg/m³
SG: Pna2_1, No. 33
calculated volume: 15.1 Å³/atom

=====

Record 2
# K2SmTlF6

K2SmTlF6 after structural relaxation (PBE-GGA, OQMD via LeMat-Bulk).

The structure in POSCAR format:
```
K2SmTlF6
1.0
0.7648 1.5236 6.3591
1.0496 6.2497 1.7845
-4.6972 3.3515 3.1700
F K Sm Tl
6 2 1 1
direct
0.7655 0.2345 0.2345 F
0.2345 0.7655 0.2345 F
0.7655 0.7655 0.2345 F
0.2345 0.2345 0.7655 F
0.7655 0.2345 0.7655 F
0.2345 0.7655 0.7655 F
0.2500 0.2500 0.2500 K
0.7500 0.7500 0.7500 K
0.0000 0.0000 0.0000 Sm
0.5000 0.5000 0.5000 Tl
```

total energy: -49.96 eV/cell
calculated density: 4.50 Mg/m³
SG: Fm-3m, No. 225
calculated volume: 20.2 Å³/atom

=====

Record 3
# KZrSnF7

KZrSnF7 after structural relaxation (PBE-GGA, OQMD via LeMat-Bulk).

The structure in POSCAR format:
```
KZrSnF7
1.0
-2.4371 5.5595 5.4664
-5.4180 -0.4818 -1.9256
-2.0750 -8.8201 8.0453
F K Sn Zr
28 4 4 4
direct
0.1529 0.5000 0.0000 F
0.8471 0.5000 0.0000 F
0.0000 0.8674 0.0749 F
0.5000 0.8686 0.0839 F
0.2397 0.1485 0.1118 F
0.7603 0.1485 0.1118 F
0.0000 0.5102 0.2022 F
0.0000 0.0907 0.2449 F
0.5000 0.0907 0.2551 F
0.5000 0.5102 0.2978 F
0.2603 0.1485 0.3882 F
0.7397 0.1485 0.3882 F
0.0000 0.8686 0.4161 F
0.5000 0.8674 0.4251 F
0.3471 0.5000 0.5000 F
0.6529 0.5000 0.5000 F
0.5000 0.1326 0.5749 F
0.0000 0.1314 0.5839 F
0.2603 0.8515 0.6118 F
0.7397 0.8515 0.6118 F
0.5000 0.4898 0.7022 F
0.5000 0.9093 0.7449 F
0.0000 0.9093 0.7551 F
0.0000 0.4898 0.7978 F
0.2397 0.8515 0.8882 F
0.7603 0.8515 0.8882 F
0.5000 0.1314 0.9161 F
0.0000 0.1326 0.9251 F
0.2500 0.7799 0.2500 K
0.7500 0.7799 0.2500 K
0.2500 0.2201 0.7500 K
0.7500 0.2201 0.7500 K
0.5000 0.2610 0.0871 Sn
0.0000 0.2610 0.4129 Sn
0.0000 0.7390 0.5871 Sn
0.5000 0.7390 0.9129 Sn
0.0000 0.2504 0.0888 Zr
0.5000 0.2504 0.4112 Zr
0.5000 0.7496 0.5888 Zr
0.0000 0.7496 0.9112 Zr
```

total energy: -231.25 eV/cell
calculated density: 4.44 Mg/m³
SG: Pmna, No. 53
calculated volume: 14.3 Å³/atom

=====

Record 4
# K2TaF7

K2TaF7 after structural relaxation (PBE-GGA, OQMD via LeMat-Bulk).

The structure in POSCAR format:
```
K2TaF7
1.0
5.6114 0.0000 -0.0074
0.0000 12.2256 0.0000
-0.0101 0.0000 8.1682
F K Ta
28 8 4
direct
0.8329 0.8889 0.0064 F
0.5235 0.6078 0.0849 F
0.9661 0.6047 0.1046 F
0.5712 0.0722 0.1179 F
0.0404 0.2461 0.1956 F
0.4698 0.2576 0.2012 F
0.2221 0.9655 0.2237 F
0.7779 0.4655 0.2763 F
0.5302 0.7576 0.2988 F
0.9596 0.7461 0.3044 F
0.4288 0.5722 0.3821 F
0.0339 0.1047 0.3954 F
0.4765 0.1078 0.4151 F
0.1671 0.3889 0.4936 F
0.8329 0.6111 0.5064 F
0.5235 0.8922 0.5849 F
0.9661 0.8953 0.6046 F
0.5712 0.4278 0.6179 F
0.0404 0.2539 0.6956 F
0.4698 0.2424 0.7012 F
0.2221 0.5345 0.7237 F
0.7779 0.0345 0.7763 F
0.5302 0.7424 0.7988 F
0.9596 0.7539 0.8044 F
0.4288 0.9278 0.8821 F
0.0339 0.3953 0.8954 F
0.4765 0.3922 0.9151 F
0.1671 0.1111 0.9936 F
0.2369 0.7794 0.0562 K
0.2391 0.4394 0.1801 K
0.7609 0.9394 0.3199 K
0.7631 0.2794 0.4438 K
0.2369 0.7206 0.5562 K
0.2391 0.0606 0.6801 K
0.7609 0.5606 0.8199 K
0.7631 0.2206 0.9438 K
0.2719 0.1240 0.2195 Ta
0.7281 0.6240 0.2805 Ta
0.2719 0.3760 0.7195 Ta
0.7281 0.8760 0.7805 Ta
```

total energy: -235.34 eV/cell
calculated density: 4.65 Mg/m³
SG: P2_1/c, No. 14
calculated volume: 14.0 Å³/atom